## PuSc2NiO8 (PBE+U)

Data for a relaxed structure of PuSc2NiO8. Values from VASP.

Values from the calculation:
Its final energy is -97.86 eV per cell.

Quantum ESPRESSO input file:
```
&SYSTEM
  ibrav = 0, nat = 12, ntyp = 4
/
ATOMIC_SPECIES
Pu 244.00 Pu.upf
Sc 44.96 Sc.upf
Ni 58.69 Ni.upf
O 16.00 O.upf
ATOMIC_POSITIONS angstrom
Pu 0.000 0.000 0.000
Sc 3.348 0.000 1.720
Sc 3.348 0.000 4.730
Ni 0.000 0.000 3.225
O 3.348 2.154 1.499
O 3.348 2.154 4.951
O 1.995 0.000 0.000
O 1.996 0.000 3.225
O 4.701 0.000 0.000
O 4.700 0.000 3.225
O 3.348 -2.154 1.499
O 3.348 -2.154 4.951
CELL_PARAMETERS angstrom
3.348 -3.472 0.000
3.348 3.472 0.000
0.000 0.000 6.450
```